Entry 1:
Entry from Alexandria via LeMat-Bulk: a relaxed structure of Nb2NiGe (PBE).

Computed properties:
final energy = -7.88 eV/atom
formation enthalpy at 0 K = -249 meV/atom
space group = P4/mmm (123)
volume = 62 Å³ per cell

a b c (Å): 4.006 3.941 3.941
angles (deg): 90.00 90.00 90.00
Atoms (fractional coordinates):
Ni  0.500  0.000  0.000
Nb  0.000  0.000  0.500
Nb  0.000  0.500  0.000
Ge  0.500  0.500  0.500



Entry 2:
Entry from Alexandria via LeMat-Bulk: a relaxed structure of ZrPd (PBE).

Computed properties:
final energy = -7.10 eV/atom
formation enthalpy at 0 K = -229 meV/atom
space group = I4/m (87)
volume = 337 Å³ per cell

a b c (Å): 10.156 10.156 3.263
angles (deg): 90.00 90.00 90.00
Atoms (fractional coordinates):
Zr  0.373  0.858  0.000
Zr  0.627  0.142  0.000
Zr  0.142  0.373  0.000
Zr  0.858  0.627  0.000
Zr  0.873  0.358  0.500
Zr  0.127  0.642  0.500
Zr  0.642  0.873  0.500
Zr  0.358  0.127  0.500
Pd  0.414  0.332  0.000
Pd  0.586  0.668  0.000
Pd  0.668  0.414  0.000
Pd  0.332  0.586  0.000
Pd  0.914  0.832  0.500
Pd  0.086  0.168  0.500
Pd  0.168  0.914  0.500
Pd  0.832  0.086  0.500



Entry 3:
Entry from Alexandria via LeMat-Bulk: a relaxed structure of Ce3ZnRu2 (PBE).

Computed properties:
final energy = -6.64 eV/atom
formation enthalpy at 0 K = -366 meV/atom
space group = Immm (71)
volume = 131 Å³ per cell

a b c (Å): 4.593 4.166 7.512
angles (deg): 106.09 107.80 90.00
Atoms (fractional coordinates):
Ce  0.500  0.500  0.000
Ce  0.816  0.316  0.632
Ce  0.184  0.684  0.368
Zn  0.000  0.000  0.000
Ru  0.357  0.857  0.715
Ru  0.643  0.143  0.285



Entry 4:
Entry from Alexandria via LeMat-Bulk: a relaxed structure of In8Ir3Au2 (PBE).

Computed properties:
final energy = -4.39 eV/atom
formation enthalpy at 0 K = -152 meV/atom
space group = P2/m (10)
volume = 279 Å³ per cell

a b c (Å): 4.614 9.195 8.019
angles (deg): 124.99 90.00 90.00
Atoms (fractional coordinates):
In  0.000  0.616  0.231
In  0.000  0.384  0.769
In  0.000  0.127  0.253
In  0.000  0.873  0.747
In  0.500  0.623  0.761
In  0.500  0.137  0.760
In  0.500  0.863  0.240
In  0.500  0.377  0.239
Ir  0.500  0.000  0.000
Ir  0.000  0.242  0.000
Ir  0.000  0.758  0.000
Au  0.500  0.252  0.503
Au  0.500  0.748  0.497



no.,calculated density (Mg/m³)
1,8.46
2,7.80
3,8.73
4,11.25